Here is crystalline Tl2HgPtRh at its relaxed geometry from Alexandria. Energies are from PBE-GGA.

Unit cell a=5.5569 b=5.0859 c=5.5569 alpha=90.00 beta=90.00 gamma=90.00
Closest atoms and distances in Å follow each position.
Atoms (fractional coordinates):
1 Tl 0.0000 0.0000 0.5000  2 Hg 2.78
2 Tl 0.5000 0.0000 0.0000  2 Hg 2.78
3 Rh 0.5000 0.5000 0.5000  8 Tl 3.77, 4 Pt 3.93
4 Hg 0.0000 0.0000 0.0000  2 Pt 2.54, 4 Tl 2.78
5 Pt 0.0000 0.5000 0.0000  2 Hg 2.54

Properties
Total moment ... 1.45 μB per cell
Formation energy from the elements ... 1197 meV per atom



Here is crystalline TlHgPtRh at its relaxed geometry from Alexandria. Energies are from PBE-GGA.

Unit cell a=4.6917 b=4.6917 c=4.6917 alpha=60.00 beta=60.00 gamma=60.00
Closest atoms and distances in Å follow each position.
Atoms (fractional coordinates):
1 Tl 0.7500 0.7500 0.7500  4 Rh 2.87, 4 Pt 2.87
2 Rh 0.5000 0.5000 0.5000  4 Hg 2.87, 4 Tl 2.87
3 Hg 0.2500 0.2500 0.2500  4 Rh 2.87, 4 Pt 2.87
4 Pt 0.0000 0.0000 0.0000  4 Hg 2.87, 4 Tl 2.87

Properties
Total moment ... 0.00 μB per cell
Formation energy from the elements ... 111 meV per atom



Here is crystalline TmHgPtRh at its relaxed geometry from Alexandria. Energies are from PBE-GGA.

Unit cell a=3.8368 b=4.3388 c=4.3679 alpha=90.00 beta=90.00 gamma=90.00
Closest atoms and distances in Å follow each position.
Atoms (fractional coordinates):
1 Tm 0.5000 0.0000 0.5000  4 Rh 2.90, 4 Pt 2.91, 4 Hg 3.08
2 Hg 0.5000 0.5000 0.0000  4 Pt 2.90, 4 Rh 2.91, 4 Tm 3.08
3 Pt 0.0000 0.0000 0.0000  4 Hg 2.90, 4 Tm 2.91, 4 Rh 3.08
4 Rh 0.0000 0.5000 0.5000  4 Tm 2.90, 4 Hg 2.91, 4 Pt 3.08

Properties
Energy relative to the lowest polymorph listed for this composition ... 0 meV/atom
Total moment ... 0.00 μB per cell
Formation energy from the elements ... -730 meV per atom



Here is crystalline TmHgPtRh at its relaxed geometry from Alexandria. Energies are from PBE-GGA.

Unit cell a=4.7162 b=4.7162 c=4.7162 alpha=60.00 beta=60.00 gamma=60.00
Closest atoms and distances in Å follow each position.
Atoms (fractional coordinates):
1 Tm 0.0000 0.0000 0.0000  4 Rh 2.89, 4 Pt 2.89
2 Rh 0.2500 0.2500 0.2500  4 Hg 2.89, 4 Tm 2.89
3 Hg 0.5000 0.5000 0.5000  4 Rh 2.89, 4 Pt 2.89
4 Pt 0.7500 0.7500 0.7500  4 Hg 2.89, 4 Tm 2.89

Properties
Energy relative to the lowest polymorph listed for this composition ... 86 meV/atom
Total moment ... 0.00 μB per cell
Formation energy from the elements ... -643 meV per atom



Here is crystalline UHgPtRh at its relaxed geometry from Alexandria. Energies are from PBE-GGA.

Unit cell a=4.7741 b=4.7741 c=4.7741 alpha=60.00 beta=60.00 gamma=60.00
Closest atoms and distances in Å follow each position.
Atoms (fractional coordinates):
1 Rh 0.5000 0.5000 0.5000  4 U 2.92, 4 Hg 2.92
2 U 0.2500 0.2500 0.2500  4 Pt 2.92, 4 Rh 2.92
3 Hg 0.7500 0.7500 0.7500  4 Rh 2.92, 4 Pt 2.92
4 Pt 0.0000 0.0000 0.0000  4 Hg 2.92, 4 U 2.92

Properties
Total moment ... 1.63 μB per cell
Formation energy from the elements ... -352 meV per atom



Here is crystalline YHg2PtRh at its relaxed geometry from Alexandria. Energies are from PBE-GGA.

Unit cell a=5.0789 b=5.1161 c=5.0789 alpha=90.00 beta=90.00 gamma=90.00
Closest atoms and distances in Å follow each position.
Atoms (fractional coordinates):
1 Y 0.0000 0.5000 0.0000  2 Rh 2.56
2 Rh 0.0000 0.0000 0.0000  4 Hg 2.54, 2 Y 2.56
3 Hg 0.0000 0.0000 0.5000  2 Rh 2.54
4 Hg 0.5000 0.0000 0.0000  2 Rh 2.54
5 Pt 0.5000 0.5000 0.5000  4 Y 3.59, 8 Hg 3.60

Properties
Total moment ... 0.00 μB per cell
Formation energy from the elements ... 213 meV per atom



Here is crystalline ZrHg2PtRh at its relaxed geometry from Alexandria. Energies are from PBE-GGA.

Unit cell a=5.0684 b=4.8080 c=5.0684 alpha=90.00 beta=90.00 gamma=90.00
Closest atoms and distances in Å follow each position.
Atoms (fractional coordinates):
1 Zr 0.0000 0.5000 0.0000  2 Rh 2.40
2 Rh 0.0000 0.0000 0.0000  2 Zr 2.40, 4 Hg 2.53
3 Hg 0.0000 0.0000 0.5000  2 Rh 2.53
4 Hg 0.5000 0.0000 0.0000  2 Rh 2.53
5 Pt 0.5000 0.5000 0.5000  8 Hg 3.49, 4 Zr 3.58

Properties
Total moment ... 0.00 μB per cell
Formation energy from the elements ... 489 meV per atom



Here is crystalline Hg4RuPt at its relaxed geometry from Alexandria. Energies are from PBE-GGA.

Unit cell a=5.5882 b=5.5882 c=5.5882 alpha=60.00 beta=60.00 gamma=60.00
Closest atoms and distances in Å follow each position.
Atoms (fractional coordinates):
1 Hg 0.8752 0.3749 0.3749  6 Hg 2.79-2.80
2 Hg 0.3749 0.3749 0.8752  6 Hg 2.79-2.80
3 Hg 0.3749 0.8752 0.3749  6 Hg 2.79-2.80
4 Hg 0.3749 0.3749 0.3749  6 Hg 2.79-2.80
5 Ru 0.0000 0.0000 0.0000  12 Hg 3.28, 4 Pt 3.42
6 Pt 0.7500 0.7500 0.7500  12 Hg 3.28, 4 Ru 3.42

Properties
Total moment ... 1.63 μB per cell
Formation energy from the elements ... 828 meV per atom



Here is crystalline Hg2RuPt at its relaxed geometry from Alexandria. Energies are from PBE-GGA.

Unit cell a=4.2789 b=4.2789 c=3.8956 alpha=90.00 beta=90.00 gamma=90.00
Closest atoms and distances in Å follow each position.
Atoms (fractional coordinates):
1 Hg 0.0000 0.0000 0.0000  4 Ru 2.89, 4 Pt 2.89, 4 Hg 3.03
2 Hg 0.5000 0.5000 0.0000  4 Ru 2.89, 4 Pt 2.89, 4 Hg 3.03
3 Pt 0.5000 0.0000 0.5000  8 Hg 2.89, 4 Ru 3.03
4 Ru 0.0000 0.5000 0.5000  8 Hg 2.89, 4 Pt 3.03

Properties
Energy relative to the lowest polymorph listed for this composition ... 108 meV/atom
Total moment ... 0.80 μB per cell
Formation energy from the elements ... 404 meV per atom



Here is crystalline Hg2RuPt at its relaxed geometry from Alexandria. Energies are from PBE-GGA.

Unit cell a=2.9343 b=2.9343 c=8.5681 alpha=90.00 beta=90.00 gamma=90.00
Closest atoms and distances in Å follow each position.
Atoms (fractional coordinates):
1 Hg 0.0000 0.0000 0.9699  4 Ru 2.93, 4 Hg 2.93
2 Hg 0.5000 0.5000 0.2745  4 Hg 2.93, 4 Pt 3.00
3 Pt 0.0000 0.0000 0.5271  4 Ru 2.70, 4 Pt 2.93, 4 Hg 3.00
4 Ru 0.5000 0.5000 0.7285  4 Pt 2.70, 4 Hg 2.93, 4 Ru 2.93

Properties
Energy relative to the lowest polymorph listed for this composition ... 0 meV/atom
Total moment ... 1.17 μB per cell
Formation energy from the elements ... 296 meV per atom



Here is crystalline HgRuPt2 at its relaxed geometry from Alexandria. Energies are from PBE-GGA.

Unit cell a=3.3040 b=3.3040 c=6.1276 alpha=90.00 beta=90.00 gamma=90.00
Closest atoms and distances in Å follow each position.
Atoms (fractional coordinates):
1 Hg 0.5000 0.5000 0.7492  6 Pt 2.86-3.15, 4 Ru 2.90
2 Pt 0.0000 0.0000 0.0193  1 Ru 2.75, 4 Pt 2.77, 4 Hg 2.86
3 Pt 0.5000 0.5000 0.2632  4 Ru 2.65, 4 Pt 2.77
4 Ru 0.0000 0.0000 0.4683  5 Pt 2.65-2.75, 4 Hg 2.90

Properties
Total moment ... 0.00 μB per cell
Formation energy from the elements ... 267 meV per atom



Here is crystalline HgRuPt at its relaxed geometry from Alexandria. Energies are from PBE-GGA.

Unit cell a=6.4589 b=6.4584 c=6.4584 alpha=154.33 beta=154.33 gamma=36.62
Closest atoms and distances in Å follow each position.
Atoms (fractional coordinates):
1 Hg 0.0030 0.0030 0.0000  4 Hg 2.87, 4 Ru 2.95, 4 Pt 3.03
2 Pt 0.3197 0.3197 0.0000  4 Ru 2.68, 4 Pt 2.87
3 Ru 0.6773 0.6773 0.0000  4 Pt 2.68, 4 Ru 2.87, 4 Hg 2.95

Properties
Energy relative to the lowest polymorph listed for this composition ... 0 meV/atom
Total moment ... 0.05 μB per cell
Formation energy from the elements ... 279 meV per atom